Here is a geometry-optimized Sc3CuW structure from Alexandria. Energies are from PBE.

Computed properties:
DFT formation energy in eV/atom: 0.81
Fermi-level density of states in states/eV/f.u.: 9.30
Density in g cm⁻³: 5.78
E above lowest polymorph in meV/atom: 19
Space-group type: No. 221

a = 4.7894 Å, b = 4.7894 Å, c = 4.7894 Å
α = 90.00°, β = 90.00°, γ = 90.00°
Sites, in units of the cell vectors:
Sc1 0.0000 0.5000 0.0000
Sc2 0.0000 0.0000 0.5000
Sc3 0.5000 0.0000 0.0000
Cu1 0.0000 0.0000 0.0000
W1 0.5000 0.5000 0.5000

=====

Here is a geometry-optimized ScCu2W structure from Alexandria. Energies are from PBE.

Computed properties:
DFT formation energy in eV/atom: 0.20
Fermi-level density of states in states/eV/f.u.: 4.53
Density in g cm⁻³: 9.69
E above lowest polymorph in meV/atom: 58
Space-group type: No. 6

a = 4.2743 Å, b = 2.8514 Å, c = 5.0773 Å
α = 80.17°, β = 90.00°, γ = 90.00°
Sites, in units of the cell vectors:
Cu1 0.0000 0.1470 0.9719
Cu2 0.5000 0.0832 0.2692
Sc1 0.0000 0.5041 0.4509
W1 0.5000 0.7658 0.8079

=====

Here is a geometry-optimized ScCu2W structure from Alexandria. Energies are from PBE.

Computed properties:
DFT formation energy in eV/atom: 0.18
Fermi-level density of states in states/eV/f.u.: 3.49
Density in g cm⁻³: 9.65
E above lowest polymorph in meV/atom: 46
Space-group type: No. 10

a = 3.7645 Å, b = 2.8432 Å, c = 6.3585 Å
α = 64.08°, β = 90.00°, γ = 90.00°
Sites, in units of the cell vectors:
Cu1 0.0000 0.0216 0.9775
Cu2 0.0000 0.4784 0.5225
Sc1 0.5000 0.2500 0.2500
W1 0.5000 0.7500 0.7500

=====

Here is a geometry-optimized ScCu2W structure from Alexandria. Energies are from PBE.

Computed properties:
DFT formation energy in eV/atom: 0.20
Fermi-level density of states in states/eV/f.u.: 3.44
Density in g cm⁻³: 9.73
E above lowest polymorph in meV/atom: 60
Space-group type: No. 8

a = 5.1628 Å, b = 5.1628 Å, c = 4.7418 Å
α = 68.71°, β = 68.71°, γ = 31.25°
Sites, in units of the cell vectors:
Cu1 0.9844 0.9844 0.9534
Cu2 0.2693 0.2693 0.2862
Sc1 0.5091 0.5091 0.4476
W1 0.7372 0.7372 0.8128

=====

Here is a geometry-optimized ScCu2W structure from Alexandria. Energies are from PBE.

Computed properties:
DFT formation energy in eV/atom: 0.18
Fermi-level density of states in states/eV/f.u.: 4.23
Density in g cm⁻³: 9.72
E above lowest polymorph in meV/atom: 41
Space-group type: No. 123

a = 2.8086 Å, b = 2.8086 Å, c = 7.7100 Å
α = 90.00°, β = 90.00°, γ = 89.98°
Sites, in units of the cell vectors:
Cu1 0.0000 0.0000 0.9893
Cu2 0.0000 0.0000 0.5107
Sc1 0.5000 0.5000 0.2500
W1 0.5000 0.5000 0.7500

=====

Here is a geometry-optimized ScCuW4 structure from Alexandria. Energies are from PBE.

Computed properties:
DFT formation energy in eV/atom: 0.47
Fermi-level density of states in states/eV/f.u.: 7.51
Density in g cm⁻³: 13.13
Space-group type: No. 216

a = 5.3242 Å, b = 5.3242 Å, c = 5.3242 Å
α = 60.00°, β = 60.00°, γ = 60.00°
Sites, in units of the cell vectors:
Sc1 0.0000 0.0000 0.0000
Cu1 0.7500 0.7500 0.7500
W1 0.8748 0.3751 0.3751
W2 0.3751 0.3751 0.8748
W3 0.3751 0.8748 0.3751
W4 0.3751 0.3751 0.3751

=====

Here is a geometry-optimized ScCu2W structure from Alexandria. Energies are from PBE.

Computed properties:
DFT formation energy in eV/atom: 0.20
Fermi-level density of states in states/eV/f.u.: 4.62
Density in g cm⁻³: 9.73
E above lowest polymorph in meV/atom: 61
Space-group type: No. 123

a = 4.4854 Å, b = 4.4842 Å, c = 3.0186 Å
α = 90.00°, β = 90.00°, γ = 90.00°
Sites, in units of the cell vectors:
Cu1 0.0000 0.0000 0.0000
Cu2 0.5000 0.5000 0.0000
Sc1 0.5000 0.0000 0.5000
W1 0.0000 0.5000 0.5000

=====

Here is a geometry-optimized ScCu2W structure from Alexandria. Energies are from PBE.

Computed properties:
DFT formation energy in eV/atom: 0.37
Fermi-level density of states in states/eV/f.u.: 3.43
Density in g cm⁻³: 9.50
E above lowest polymorph in meV/atom: 230
Space-group type: No. 166

a = 9.3297 Å, b = 9.3297 Å, c = 9.3297 Å
α = 17.24°, β = 17.24°, γ = 17.24°
Sites, in units of the cell vectors:
Cu1 0.0023 0.0023 0.0023
Cu2 0.4977 0.4977 0.4977
Sc1 0.2500 0.2500 0.2500
W1 0.7500 0.7500 0.7500

=====

Here is a geometry-optimized ScCu2W structure from Alexandria. Energies are from PBE.

Computed properties:
DFT formation energy in eV/atom: 0.32
Fermi-level density of states in states/eV/f.u.: 3.33
Density in g cm⁻³: 9.37
E above lowest polymorph in meV/atom: 181
Space-group type: No. 12

a = 4.8037 Å, b = 4.8037 Å, c = 5.0882 Å
α = 82.23°, β = 82.23°, γ = 32.86°
Sites, in units of the cell vectors:
Cu1 0.0058 0.0058 0.9665
Cu2 0.4942 0.4942 0.5335
Sc1 0.2500 0.2500 0.2500
W1 0.7500 0.7500 0.7500

=====

Here is a geometry-optimized Sc3CuW structure from Alexandria. Energies are from PBE.

Computed properties:
DFT formation energy in eV/atom: 0.79
Fermi-level density of states in states/eV/f.u.: 4.05
Density in g cm⁻³: 4.94
E above lowest polymorph in meV/atom: 0
Space-group type: No. 221

a = 5.0462 Å, b = 5.0462 Å, c = 5.0462 Å
α = 90.00°, β = 90.00°, γ = 90.00°
Sites, in units of the cell vectors:
Sc1 0.0000 0.5000 0.0000
Sc2 0.0000 0.0000 0.5000
Sc3 0.5000 0.0000 0.0000
Cu1 0.5000 0.5000 0.5000
W1 0.0000 0.0000 0.0000

=====

Here is a geometry-optimized ScCu3W structure from Alexandria. Energies are from PBE.

Computed properties:
DFT formation energy in eV/atom: 1.10
Fermi-level density of states in states/eV/f.u.: 6.08
Density in g cm⁻³: 6.93
E above lowest polymorph in meV/atom: 0
Space-group type: No. 221

a = 4.6485 Å, b = 4.6485 Å, c = 4.6485 Å
α = 90.00°, β = 90.00°, γ = 90.00°
Sites, in units of the cell vectors:
Sc1 0.5000 0.5000 0.5000
Cu1 0.0000 0.5000 0.0000
Cu2 0.0000 0.0000 0.5000
Cu3 0.5000 0.0000 0.0000
W1 0.0000 0.0000 0.0000

=====

Here is a geometry-optimized ScCu2W structure from Alexandria. Energies are from PBE.

Computed properties:
DFT formation energy in eV/atom: 0.18
Fermi-level density of states in states/eV/f.u.: 3.59
Density in g cm⁻³: 9.81
E above lowest polymorph in meV/atom: 44
Space-group type: No. 65

a = 4.7543 Å, b = 4.7543 Å, c = 2.7615 Å
α = 90.00°, β = 90.00°, γ = 105.28°
Sites, in units of the cell vectors:
Cu1 0.0000 0.0000 0.0000
Cu2 0.5000 0.5000 0.0000
Sc1 0.5000 0.0000 0.5000
W1 0.0000 0.5000 0.5000

=====

Here is a geometry-optimized ScCu2W structure from Alexandria. Energies are from PBE.

Computed properties:
DFT formation energy in eV/atom: 0.25
Fermi-level density of states in states/eV/f.u.: 2.39
Density in g cm⁻³: 9.66
E above lowest polymorph in meV/atom: 115
Space-group type: No. 225

a = 4.4231 Å, b = 4.4231 Å, c = 4.4231 Å
α = 60.00°, β = 60.00°, γ = 60.00°
Sites, in units of the cell vectors:
Sc1 0.0000 0.0000 0.0000
Cu1 0.2500 0.2500 0.2500
Cu2 0.7500 0.7500 0.7500
W1 0.5000 0.5000 0.5000

=====

Here is a geometry-optimized ScCu2W structure from Alexandria. Energies are from PBE.

Computed properties:
DFT formation energy in eV/atom: 0.33
Fermi-level density of states in states/eV/f.u.: 4.88
Density in g cm⁻³: 9.70
E above lowest polymorph in meV/atom: 189
Space-group type: No. 119

a = 4.9846 Å, b = 4.9846 Å, c = 4.9846 Å
α = 135.05°, β = 135.05°, γ = 65.45°
Sites, in units of the cell vectors:
Cu1 0.0000 0.0000 0.0000
Cu2 0.2500 0.7500 0.5000
Sc1 0.5000 0.5000 0.0000
W1 0.7500 0.2500 0.5000

=====

Here is a geometry-optimized ScCu2W structure from Alexandria. Energies are from PBE.

Computed properties:
DFT formation energy in eV/atom: 0.51
Fermi-level density of states in states/eV/f.u.: 0.73
Density in g cm⁻³: 9.43
E above lowest polymorph in meV/atom: 370
Space-group type: No. 216

a = 4.4586 Å, b = 4.4586 Å, c = 4.4586 Å
α = 60.00°, β = 60.00°, γ = 60.00°
Sites, in units of the cell vectors:
Cu1 0.0000 0.0000 0.0000
Cu2 0.2500 0.2500 0.2500
Sc1 0.5000 0.5000 0.5000
W1 0.7500 0.7500 0.7500

=====

Here is a geometry-optimized ScCu2W structure from Alexandria. Energies are from PBE.

Computed properties:
DFT formation energy in eV/atom: 0.33
Fermi-level density of states in states/eV/f.u.: 3.21
Density in g cm⁻³: 9.41
E above lowest polymorph in meV/atom: 194
Space-group type: No. 160

a = 9.0647 Å, b = 9.0647 Å, c = 9.0647 Å
α = 18.10°, β = 18.10°, γ = 18.10°
Sites, in units of the cell vectors:
Cu1 0.9967 0.9967 0.9967
Cu2 0.2561 0.2561 0.2561
Sc1 0.5035 0.5035 0.5035
W1 0.7438 0.7438 0.7438

=====

Here is a geometry-optimized ScCu2W structure from Alexandria. Energies are from PBE.

Computed properties:
DFT formation energy in eV/atom: 0.14
Fermi-level density of states in states/eV/f.u.: 3.79
Density in g cm⁻³: 9.69
E above lowest polymorph in meV/atom: 0
Space-group type: No. 99

a = 2.8121 Å, b = 2.8121 Å, c = 7.7146 Å
α = 90.00°, β = 90.00°, γ = 89.92°
Sites, in units of the cell vectors:
Cu1 0.0000 0.0000 0.0163
Cu2 0.5000 0.5000 0.2201
Sc1 0.0000 0.0000 0.4849
W1 0.5000 0.5000 0.7787

=====

Here is a geometry-optimized Sc4CuW structure from Alexandria. Energies are from PBE.

Computed properties:
DFT formation energy in eV/atom: 0.73
Fermi-level density of states in states/eV/f.u.: 7.08
Density in g cm⁻³: 5.94
Space-group type: No. 216

a = 5.5269 Å, b = 5.5269 Å, c = 5.5269 Å
α = 60.00°, β = 60.00°, γ = 60.00°
Sites, in units of the cell vectors:
Sc1 0.8724 0.3759 0.3759
Sc2 0.3759 0.3759 0.8724
Sc3 0.3759 0.8724 0.3759
Sc4 0.3759 0.3759 0.3759
Cu1 0.0000 0.0000 0.0000
W1 0.7500 0.7500 0.7500

=====

Here is a geometry-optimized ScCu2W structure from Alexandria. Energies are from PBE.

Computed properties:
DFT formation energy in eV/atom: 0.79
Fermi-level density of states in states/eV/f.u.: 3.79
Density in g cm⁻³: 8.70
E above lowest polymorph in meV/atom: 656
Space-group type: No. 122

a = 3.8410 Å, b = 3.8410 Å, c = 9.5957 Å
α = 78.45°, β = 78.45°, γ = 90.00°
Sites, in units of the cell vectors:
Sc1 0.5000 0.5000 0.0000
Sc2 0.2500 0.7500 0.5000
Cu1 0.6535 0.1250 0.2500
Cu2 0.0965 0.6250 0.2500
Cu3 0.3750 0.3465 0.7500
Cu4 0.8750 0.9035 0.7500
W1 0.0000 0.0000 0.0000
W2 0.7500 0.2500 0.5000

=====

Here is a geometry-optimized ScZnCuW2 structure from Alexandria. Energies are from PBE.

Computed properties:
DFT formation energy in eV/atom: 1.65
Fermi-level density of states in states/eV/f.u.: 9.25
Density in g cm⁻³: 8.92
Space-group type: No. 123

a = 4.5882 Å, b = 4.5882 Å, c = 4.7888 Å
α = 90.00°, β = 90.00°, γ = 90.00°
Sites, in units of the cell vectors:
Sc1 0.0000 0.0000 0.5000
Zn1 0.0000 0.0000 0.0000
Cu1 0.5000 0.5000 0.5000
W1 0.0000 0.5000 0.0000
W2 0.5000 0.0000 0.0000